Record 1
This record from Alexandria via LeMat-Bulk describes TaZnTcO6 after structural relaxation. The functional is PBE-GGA.

Cell and atoms, written as CIF:
```
data_TaZnTcO6
_cell_length_a 5.1622
_cell_length_b 5.1622
_cell_length_c 9.1072
_cell_angle_alpha 90.00
_cell_angle_beta 90.00
_cell_angle_gamma 120.00
_space_group_name_H-M_alt 'P -3 1 c'
_space_group_IT_number 163
_space_group_name_Hall '-P 3 2c'
loop_
_atom_site_label
_atom_site_type_symbol
_atom_site_fract_x
_atom_site_fract_y
_atom_site_fract_z
Ta1 Ta 0.3333 0.6667 0.2500
Zn1 Zn 0.0000 0.0000 0.0000
Tc1 Tc 0.3333 0.6667 0.7500
O1 O 0.0024 0.3500 0.6323
```

---

Record 2
This record from Alexandria via LeMat-Bulk describes Mg2ZrBr after structural relaxation. The functional is PBE-GGA.

Cell and atoms, written as CIF:
```
data_Mg2ZrBr
_cell_length_a 7.4142
_cell_length_b 7.4142
_cell_length_c 7.4142
_cell_angle_alpha 90.00
_cell_angle_beta 90.00
_cell_angle_gamma 90.00
_space_group_name_H-M_alt 'F m -3 m'
_space_group_IT_number 225
_space_group_name_Hall '-F 4 2 3'
loop_
_atom_site_label
_atom_site_type_symbol
_atom_site_fract_x
_atom_site_fract_y
_atom_site_fract_z
Mg1 Mg 0.2500 0.2500 0.2500
Zr1 Zr 0.0000 0.0000 0.0000
Br1 Br 0.0000 0.0000 0.5000
```

---

| no. | total moment (μB/cell) | formation energy from raw total energies (meV/atom) |
| --- | --- | --- |
| 1 | 4.00 | -1821 |
| 2 | 8.43 | 467 |